CeSmIr | the Alexandria database | GGA-PBE | relaxed; formation enthalpy at 0 K = -471 meV/atom; offset from the most stable computed form = 94 meV per atom; total energy = -0.25634 hartree per atom; magnetic moment = 1.1 μB/cell
1.0
-6.0453 0.1348 1.3506
0.5953 -2.8150 2.9456
0.2893 4.0089 0.8946
Sm Ir Ce
1 1 1
direct
0.7545 0.6667 0.3333
0.0082 0.0000 0.0000
0.2373 0.3333 0.6667

RbPmS2O6 | the Alexandria database | GGA-PBE | relaxed; uncorrected formation energy = -20.23 eV/f.u.; total energy = -0.23501 hartree per atom; magnetic moment = 0.0 μB/cell
1.0
-0.8014 -4.9104 4.5717
-1.5797 -3.5208 -5.5465
7.9462 1.0351 -0.4691
O S Pm Rb
12 4 2 2
direct
0.3049 0.1682 0.6201
0.4893 0.7081 0.0722
0.5107 0.2919 0.9278
0.9167 0.4611 0.2570
0.2919 0.5107 0.4278
0.6951 0.8318 0.3799
0.7081 0.4893 0.5722
0.1682 0.3049 0.1201
0.8318 0.6951 0.8799
0.4611 0.9167 0.7570
0.5389 0.0833 0.2430
0.0833 0.5389 0.7430
0.6579 0.9087 0.2114
0.3421 0.0913 0.7886
0.0913 0.3421 0.2886
0.9087 0.6579 0.7114
0.5547 0.4453 0.2500
0.4453 0.5547 0.7500
0.1470 0.8530 0.2500
0.8530 0.1470 0.7500

Q: total energy of number 2 (RbPmS2O6)?
A: -0.23501 hartree per atom

Q: total energy of number 2 (RbPmS2O6)?
A: -0.23501 hartree per atom

Repeat the second record exactly.
RbPmS2O6 | the Alexandria database | GGA-PBE | relaxed; uncorrected formation energy = -20.23 eV/f.u.; total energy = -0.23501 hartree per atom; magnetic moment = 0.0 μB/cell
1.0
-0.8014 -4.9104 4.5717
-1.5797 -3.5208 -5.5465
7.9462 1.0351 -0.4691
O S Pm Rb
12 4 2 2
direct
0.3049 0.1682 0.6201
0.4893 0.7081 0.0722
0.5107 0.2919 0.9278
0.9167 0.4611 0.2570
0.2919 0.5107 0.4278
0.6951 0.8318 0.3799
0.7081 0.4893 0.5722
0.1682 0.3049 0.1201
0.8318 0.6951 0.8799
0.4611 0.9167 0.7570
0.5389 0.0833 0.2430
0.0833 0.5389 0.7430
0.6579 0.9087 0.2114
0.3421 0.0913 0.7886
0.0913 0.3421 0.2886
0.9087 0.6579 0.7114
0.5547 0.4453 0.2500
0.4453 0.5547 0.7500
0.1470 0.8530 0.2500
0.8530 0.1470 0.7500

Q: Number 2 is which compound?
A: RbPmS2O6